Material: Mg2ZrTaTe
Method: DFT, SCAN
State: PBEsol geometry

Results
calculated volume: 28.97 A^3/atom
E_form (uncorrected): 146 kJ per mole of atoms

Unit cell a=5.258 b=5.258 c=5.238 alpha=90.00 beta=90.00 gamma=90.00
Space group P4/mmm (No. 123)
Symmetry-distinct sites (fractional):
Mg: 0.000 0.500 0.000 [2 per cell]
Zr: 0.000 0.000 0.000 [1 per cell]
Ta: 0.500 0.500 0.500 [1 per cell]
Te: 0.000 0.000 0.500 [1 per cell]